# 1
An optimized crystal structure of Y2Tl2BiO6. Source: Alexandria, functional PBE.

Unit cell a=6.081 b=10.483 c=6.871 alpha=90.00 beta=107.89 gamma=90.00
Space group C2/m (No. 12)
One atom of each set of equivalent atoms:
Y 0.000 0.165 0.000 [4 per cell]
Tl 0.000 0.329 0.500 [4 per cell]
Bi 0.000 0.500 0.000 [2 per cell]
O 0.224 0.332 0.172 [8 per cell]
O 0.231 0.000 0.171 [4 per cell]

The formation energy (no corrections) comes out at -1.948 eV/atom.

# 2
An optimized crystal structure of Y4TlBi3O12. Source: Alexandria, functional PBE.

Unit cell a=8.596 b=8.596 c=8.596 alpha=90.00 beta=90.00 gamma=90.00
Space group Im-3 (No. 204)
One atom of each set of equivalent atoms:
Y 0.250 0.250 0.250 [8 per cell]
Tl 0.000 0.000 0.000 [2 per cell]
Bi 0.000 0.000 0.500 [6 per cell]
O 0.000 0.316 0.190 [24 per cell]

The formation energy (no corrections) comes out at -2.133 eV/atom.

# 3
An optimized crystal structure of TmBiO3. Source: Alexandria, functional PBE.

Unit cell a=5.9509 b=5.9509 c=15.0994 alpha=90.00 beta=90.00 gamma=120.00
Space group R-3 (No. 148, hexagonal axes)
One atom of each set of equivalent atoms:
Tm 0.0000 0.0000 0.1429 [6 per cell]
Bi 0.0000 0.0000 0.3578 [6 per cell]
O 0.0358 0.2959 0.7502 [18 per cell]

The formation energy (no corrections) comes out at -2.397 eV/atom.

# 4
An optimized crystal structure of TmBiO. Source: Alexandria, functional PBE.

Unit cell a=3.5219 b=3.5219 c=20.2641 alpha=90.00 beta=90.00 gamma=120.00
Space group R3m (No. 160, hexagonal axes)
One atom of each set of equivalent atoms:
Tm 0.0000 0.0000 0.0000 [3 per cell]
Bi 0.0000 0.0000 0.8077 [3 per cell]
O 0.0000 0.0000 0.6355 [3 per cell]

The energy above the lowest structure with this stoichiometry comes out at 24.1 kJ/mol of atoms. The formation energy (no corrections) comes out at -1.899 eV/atom.

# 5
An optimized crystal structure of Tm2BiO2. Source: Alexandria, functional PBE.

Unit cell a=3.834 b=3.834 c=13.397 alpha=90.00 beta=90.00 gamma=90.00
Space group I4/mmm (No. 139)
One atom of each set of equivalent atoms:
Tm 0.000 0.000 0.170 [4 per cell]
Bi 0.000 0.000 0.500 [2 per cell]
O 0.000 0.500 0.250 [4 per cell]

The formation energy (no corrections) comes out at -2.718 eV/atom.

# 6
An optimized crystal structure of TmBiO2. Source: Alexandria, functional PBE.

Unit cell a=3.4628 b=3.4628 c=20.8342 alpha=90.00 beta=90.00 gamma=120.00
Space group R-3m (No. 166, hexagonal axes)
One atom of each set of equivalent atoms:
Tm 0.0000 0.0000 0.0000 [3 per cell]
Bi 0.0000 0.0000 0.5000 [3 per cell]
O 0.0000 0.0000 0.3844 [6 per cell]

The formation energy (no corrections) comes out at -2.467 eV/atom.

# 7
An optimized crystal structure of TmBi3O6. Source: Alexandria, functional PBE.

Unit cell a=10.1861 b=10.1861 c=11.3281 alpha=90.00 beta=90.00 gamma=120.00
Space group R-3 (No. 148, hexagonal axes)
One atom of each set of equivalent atoms:
Tm 0.0000 0.0000 0.0000 [3 per cell]
Tm 0.0000 0.0000 0.5000 [3 per cell]
Bi 0.0436 0.7823 0.2074 [18 per cell]
O 0.0253 0.8452 0.8730 [18 per cell]
O 0.0380 0.8346 0.3957 [18 per cell]

The energy above the lowest structure with this stoichiometry comes out at 0.0 kJ/mol of atoms. The formation energy (no corrections) comes out at -1.800 eV/atom.

# 8
An optimized crystal structure of TmBiO. Source: Alexandria, functional PBE.

Unit cell a=3.5858 b=3.5858 c=12.4690 alpha=90.00 beta=90.00 gamma=120.00
Space group P-3m1 (No. 164)
One atom of each set of equivalent atoms:
Tm 0.3333 0.6667 0.3781 [2 per cell]
Bi 0.3333 0.6667 0.8493 [2 per cell]
O 0.3333 0.6667 0.5679 [2 per cell]

The energy above the lowest structure with this stoichiometry comes out at 15.4 kJ/mol of atoms. The formation energy (no corrections) comes out at -1.989 eV/atom.

# 9
An optimized crystal structure of TmBiO3. Source: Alexandria, functional PBE.

Unit cell a=11.995 b=4.005 c=6.724 alpha=90.00 beta=96.54 gamma=90.00
Space group C2/m (No. 12)
One atom of each set of equivalent atoms:
Tm 0.131 0.000 0.415 [4 per cell]
Bi 0.131 0.500 0.861 [4 per cell]
O 0.048 0.000 0.707 [4 per cell]
O 0.171 0.500 0.532 [4 per cell]
O 0.186 0.000 0.108 [4 per cell]

The formation energy (no corrections) comes out at -2.412 eV/atom.

# 10
An optimized crystal structure of Tm3BiO7. Source: Alexandria, functional PBE.

Unit cell a=7.499 b=10.601 c=7.578 alpha=90.00 beta=90.00 gamma=90.00
Space group Cmcm (No. 63)
One atom of each set of equivalent atoms:
Tm 0.000 0.000 0.000 [4 per cell]
Tm 0.233 0.264 0.250 [8 per cell]
Bi 0.000 0.500 0.000 [4 per cell]
O 0.000 0.133 0.750 [4 per cell]
O 0.000 0.137 0.250 [4 per cell]
O 0.000 0.409 0.250 [4 per cell]
O 0.213 0.372 0.531 [16 per cell]

The formation energy (no corrections) comes out at -2.765 eV/atom.

# 11
An optimized crystal structure of Tm12Bi3O5. Source: Alexandria, functional PBE.

Unit cell a=15.503 b=15.503 c=15.503 alpha=90.00 beta=90.00 gamma=90.00
Space group Ia-3d (No. 230)
One atom of each set of equivalent atoms:
Tm 0.045 0.046 0.646 [96 per cell]
Bi 0.000 0.250 0.125 [24 per cell]
O 0.000 0.000 0.000 [16 per cell]
O 0.000 0.250 0.375 [24 per cell]

The formation energy (no corrections) comes out at -1.595 eV/atom.

# 12
An optimized crystal structure of TmBiO. Source: Alexandria, functional PBE.

Unit cell a=3.5442 b=3.5442 c=6.9134 alpha=90.00 beta=90.00 gamma=120.00
Space group P3m1 (No. 156)
One atom of each set of equivalent atoms:
Tm 0.0000 0.0000 0.0000 [1 per cell]
Bi 0.3333 0.6667 0.5988 [1 per cell]
O 0.6667 0.3333 0.0838 [1 per cell]

The energy above the lowest structure with this stoichiometry comes out at 11.8 kJ/mol of atoms. The formation energy (no corrections) comes out at -2.026 eV/atom.